12
Lattice="-5.132 2.527 -0.480 0.883 -1.986 5.313 4.055 3.886 -1.184" Properties=species:S:1:pos:R:3 comment="HfTi2CrO8, optimized geometry, DFT PBE with a Hubbard U" energy_ev_per_atom=-8.59 pbc="T T T"
Hf 1.407 1.085 3.273
O -3.417 3.063 0.480
O -1.428 3.829 2.143
O 1.708 3.674 -0.482
O -0.994 4.528 -0.894
O -0.561 1.945 -0.224
O -0.353 0.555 2.369
O -3.116 1.664 2.961
O 1.374 2.960 2.449
Cr 0.000 0.000 0.000
Ti -1.600 3.341 0.376
Ti -2.124 0.270 2.416



5
Lattice="-1.247 -4.320 0.095 3.123 -0.955 -2.402 2.582 -0.665 3.622" Properties=species:S:1:pos:R:3 comment="Hf2TiCrO, optimized geometry, DFT PBE with a Hubbard U" energy_ev_per_atom=-8.76 pbc="T T T"
Cr 1.561 -0.477 -1.201
Hf 1.291 -0.333 1.811
Hf -0.624 -2.160 0.048
Ti 2.229 -2.970 0.658
O 0.000 0.000 0.000



10
Lattice="-2.367 2.040 -4.667 -2.985 -3.384 -3.344 -5.688 0.590 -0.236" Properties=species:S:1:pos:R:3 comment="HfTl2CrO6, optimized geometry, DFT PBE with a Hubbard U" energy_ev_per_atom=-6.92 pbc="T T T"
Tl -4.513 -0.645 -4.751
Tl -4.794 0.353 -0.794
O -3.632 0.772 -3.258
O -5.042 -2.701 -4.041
O -7.733 -0.682 -4.652
O -5.739 0.227 -6.408
O -6.302 1.636 -3.347
O -6.229 -1.098 -2.065
Cr -7.522 -0.767 -6.658
Hf -1.967 -0.399 -2.556



12
Lattice="-1.328 -4.406 3.001 2.902 -0.895 4.578 -5.186 4.277 4.388" Properties=species:S:1:pos:R:3 comment="HfTlCr2O8, optimized geometry, DFT PBE with a Hubbard U" energy_ev_per_atom=-7.33 pbc="T T T"
O 0.994 -1.265 5.302
O -2.544 0.824 4.989
O -1.108 -3.009 4.518
O -4.606 0.240 6.666
O -1.068 -1.848 6.978
O -4.399 2.790 5.587
O -2.504 1.985 7.450
O 0.787 -3.814 6.380
Tl -2.593 2.138 2.194
Cr -3.502 1.460 6.142
Cr -0.110 -2.485 5.826
Hf 0.000 0.000 0.000



12
Lattice="5.832 0.033 0.000 -2.557 5.242 0.000 -1.637 -2.637 4.937" Properties=species:S:1:pos:R:3 comment="TmHfCr2O8, optimized geometry, DFT PBE with a Hubbard U" energy_ev_per_atom=-8.13 pbc="T T T"
O 4.294 0.450 1.527
O 3.138 -1.411 3.411
O 1.538 -0.417 1.527
O -0.090 1.548 4.045
O 0.090 -1.548 4.045
O 3.064 3.243 0.893
O 0.210 2.031 0.893
O 2.694 1.444 3.411
Cr 1.637 2.637 0.000
Cr 2.916 0.016 2.469
Tm -1.279 2.621 2.469
Hf 0.000 0.000 0.000



12
Lattice="-1.787 -4.965 2.312 -0.849 0.382 -5.685 5.678 0.359 0.905" Properties=species:S:1:pos:R:3 comment="HfV2CrO8, optimized geometry, DFT PBE with a Hubbard U" energy_ev_per_atom=-8.22 pbc="T T T"
V 1.287 -3.449 0.766
V -1.318 -2.291 -1.686
O 0.924 -1.759 0.660
O -0.130 -4.349 1.190
O 0.096 -1.292 -1.965
O 1.842 -4.047 -0.762
O 2.512 -3.640 1.974
O 3.934 -1.216 0.761
O 3.126 -1.913 -2.026
O -1.070 -4.027 -1.705
Hf 0.000 0.000 0.000
Cr 1.756 -0.775 -3.233



5
Lattice="3.824 0.000 0.000 0.000 5.632 0.000 0.000 0.000 3.824" Properties=species:S:1:pos:R:3 comment="HfVCrO2, optimized geometry, DFT PBE with a Hubbard U" energy_ev_per_atom=-7.02 pbc="T T T"
Cr 1.912 2.816 1.912
V 0.000 0.000 0.000
Hf 0.000 2.816 0.000
O 0.000 0.000 1.912
O 1.912 0.000 0.000



14
Lattice="6.277 0.000 0.000 3.139 5.517 0.299 3.139 1.966 5.163" Properties=species:S:1:pos:R:3 comment="HfZnCrO4, optimized geometry, DFT PBE with a Hubbard U" energy_ev_per_atom=-7.84 pbc="T T T"
O 7.976 4.797 1.638
O 4.578 2.685 3.825
O 9.416 5.800 4.085
O 6.277 1.917 1.549
O 4.578 4.797 1.638
O 3.139 1.682 1.377
O 6.277 5.566 3.914
O 7.976 2.685 3.825
Hf 4.708 0.983 2.582
Hf 1.569 0.983 2.582
Cr 3.139 3.741 2.731
Cr 0.000 0.000 0.000
Zn 6.277 3.618 4.505
Zn 6.277 3.865 0.957